1.
Tb6Er3Tm PBE optimized geometry; VASP energy = -4.469 eV per atom; SG = Cmc2_1, No. 36
1.0
6.316 0.000 0.000
0.000 9.979 -5.651
0.000 -2.195 11.256
Er Tb Tm
6 12 2
Direct
0.591 0.581 0.419 Er
0.091 0.419 0.581 Er
0.490 0.958 0.705 Er
0.490 0.295 0.042 Er
0.990 0.042 0.295 Er
0.990 0.705 0.958 Er
0.068 0.742 0.621 Tb
0.788 0.300 0.700 Tb
0.568 0.621 0.742 Tb
0.321 0.984 0.016 Tb
0.826 0.895 0.457 Tb
0.326 0.105 0.543 Tb
0.568 0.258 0.379 Tb
0.326 0.457 0.895 Tb
0.288 0.700 0.300 Tb
0.068 0.379 0.258 Tb
0.821 0.016 0.984 Tb
0.826 0.543 0.105 Tb
0.517 0.840 0.160 Tm
0.017 0.160 0.840 Tm

---

2.
Ba2AlCo PBE optimized geometry; VASP energy = -3.558 eV per atom; SG = Amm2, No. 38
1.0
4.389 0.000 0.000
0.000 4.836 0.024
0.000 2.384 6.470
Al Ba Co
1 2 1
Direct
0.500 0.582 0.711 Al
0.000 0.993 0.889 Ba
0.500 0.267 0.341 Ba
0.000 0.658 0.559 Co

---

3.
DyPaN2 PBE optimized geometry; VASP energy = -9.344 eV per atom; SG = I4_1/amd, No. 141
1.0
4.543 0.000 -1.919
-0.810 4.471 -1.919
-0.131 -0.157 6.029
Dy Pa N
2 2 4
Direct
0.250 0.750 0.500 Dy
0.500 0.500 0.000 Dy
0.750 0.250 0.500 Pa
0.000 0.000 0.000 Pa
0.243 0.243 0.487 N
0.507 0.007 0.013 N
0.993 0.493 0.987 N
0.757 0.757 0.513 N

---

4.
LiSe2I PBE optimized geometry; VASP energy = -2.801 eV per atom; SG = R-3m, No. 166
1.0
2.894 0.000 5.797
-1.447 2.506 5.797
-1.447 -2.506 5.797
Se Li I
2 1 1
Direct
0.839 0.839 0.839 Se
0.161 0.161 0.161 Se
0.500 0.500 0.500 Li
0.000 0.000 0.000 I

---

5.
LaZrGeMo2 PBE optimized geometry; VASP energy = -6.199 eV per atom; SG = P4/mmm, No. 123
1.0
4.738 0.000 0.000
0.000 5.408 0.000
0.000 0.000 4.738
La Zr Mo Ge
1 1 2 1
Direct
0.000 0.000 0.000 La
0.500 0.500 0.500 Zr
0.000 0.000 0.500 Mo
0.500 0.000 0.000 Mo
0.000 0.500 0.000 Ge

---

6.
Pr4Nd4Sm PBE optimized geometry; VASP energy = -4.756 eV per atom; SG = C2/m, No. 12
1.0
5.091 0.000 1.203
1.878 7.266 3.426
0.431 1.931 9.544
Sm Pr Nd
1 4 4
Direct
0.500 0.000 0.000 Sm
0.722 0.889 0.667 Pr
0.834 0.332 0.000 Pr
0.278 0.111 0.333 Pr
0.166 0.668 0.000 Pr
0.389 0.554 0.667 Nd
0.611 0.446 0.333 Nd
0.945 0.777 0.333 Nd
0.055 0.223 0.667 Nd

---

7.
OsRuIN2 PBE optimized geometry; VASP energy = -6.498 eV per atom; SG = P4/mmm, No. 123
1.0
-1.941 3.188 -0.654
-3.124 -1.612 1.415
1.484 2.057 5.621
I N Ru Os
1 2 1 1
Direct
0.000 0.000 0.500 I
0.500 0.000 0.000 N
0.000 0.500 0.000 N
0.500 0.500 0.500 Ru
0.000 0.000 0.000 Os

---

8.
NdMnN2 PBE optimized geometry; VASP energy = -8.495 eV per atom; SG = P3_121, No. 152
1.0
5.470 0.000 0.000
-2.735 4.737 0.000
0.000 0.000 6.351
Nd N Mn
3 6 3
Direct
0.000 0.648 0.667 Nd
0.648 0.000 0.333 Nd
0.352 0.352 0.000 Nd
0.565 0.695 0.703 N
0.129 0.435 0.370 N
0.695 0.565 0.297 N
0.871 0.305 0.963 N
0.305 0.871 0.037 N
0.435 0.129 0.630 N
0.587 0.000 0.833 Mn
0.413 0.413 0.500 Mn
0.000 0.587 0.167 Mn

---

no.,N(E_F) (states/eV per cell),volume (Å³/atom)
1,32.1,31.6
2,3.4,34.3
3,6.2,15.0
4,2.0,31.5
5,5.1,24.3
6,14.1,35.5
7,4.8,17.7
8,7.3,13.7